1.
The following is a PBE with a Hubbard U calculation of crystalline Li4Mn3Cr2Cu3O16 at its relaxed geometry, from the Alexandria database.

Properties
- Magnetic moment: 4.0 μB per formula unit
- DOS(E_F): 6.479 states/eV/f.u.
- Raw total energy: -6.234 eV/atom
- Space group: Cm (8)

a b c (Å): 5.8499 5.8499 9.4496
angles (deg): 90.92 90.92 59.54
Last column: nearest neighbours and their distance in Å.
Atoms (fractional coordinates):
1 Li 0.0000 0.0000 0.0000  4 O 1.80-1.96
2 Li 0.0028 0.0028 0.5044  4 O 1.78-1.90
3 Li 0.3375 0.3375 0.3996  4 O 1.94-2.05
4 Li 0.6667 0.6667 0.9001  4 O 1.93-2.03
5 Mn 0.1745 0.1745 0.7210  6 O 1.92-1.97
6 Mn 0.3414 0.8348 0.2209  6 O 1.91-1.97
7 Mn 0.8348 0.3414 0.2209  6 O 1.91-1.97
8 Cr 0.3378 0.3378 0.9905  6 O 1.99-2.11
9 Cr 0.6720 0.6720 0.4968  6 O 1.95-2.08
10 Cu 0.1721 0.6649 0.7187  6 O 1.91-2.12
11 Cu 0.6649 0.1721 0.7187  6 O 1.91-2.12
12 Cu 0.8347 0.8347 0.2208  6 O 1.98-2.04
13 O 0.0049 0.0049 0.8095  1 Li 1.80, 2 Cu 1.91, 1 Mn 1.93
14 O 0.0093 0.0093 0.3168  1 Li 1.78, 2 Mn 1.91, 1 Cu 1.98
15 O 0.0355 0.4734 0.8481  1 Mn 1.92, 1 Li 1.93, 1 Cr 2.03, 1 Cu 2.09
16 O 0.1648 0.1648 0.1113  1 Li 1.96, 2 Mn 1.97, 1 Cr 2.11
17 O 0.1750 0.6804 0.1067  1 Li 1.91, 1 Mn 1.94, 1 Cu 2.04, 1 Cr 2.04
18 O 0.3343 0.8528 0.6010  1 Li 1.90, 1 Mn 1.97, 1 Cr 1.97, 1 Cu 2.12
19 O 0.3346 0.3346 0.6163  1 Mn 1.92, 2 Cu 1.92, 1 Li 2.05
20 O 0.4734 0.0355 0.8481  1 Mn 1.92, 1 Li 1.93, 1 Cr 2.03, 1 Cu 2.09
21 O 0.4820 0.4820 0.8501  1 Li 1.93, 1 Cr 1.99, 2 Cu 1.99
22 O 0.5156 0.9639 0.3469  1 Mn 1.93, 1 Li 1.94, 1 Cu 2.02, 1 Cr 2.05
23 O 0.5228 0.5228 0.3425  2 Mn 1.96, 1 Li 1.97, 1 Cr 2.08
24 O 0.6643 0.6643 0.1150  2 Mn 1.92, 1 Cu 1.98, 1 Li 2.03
25 O 0.6804 0.1750 0.1067  1 Li 1.91, 1 Mn 1.94, 1 Cu 2.04, 1 Cr 2.04
26 O 0.8417 0.8417 0.5972  1 Li 1.87, 1 Cr 1.95, 2 Cu 2.02
27 O 0.8528 0.3343 0.6010  1 Li 1.90, 1 Mn 1.97, 1 Cr 1.97, 1 Cu 2.12
28 O 0.9639 0.5156 0.3469  1 Mn 1.93, 1 Li 1.94, 1 Cu 2.02, 1 Cr 2.05

2.
The following is a PBE with a Hubbard U calculation of crystalline Li4Mn3Cr3Cu2O16 at its relaxed geometry, from the Alexandria database.

Properties
- Magnetic moment: 17.0 μB per formula unit
- DOS(E_F): 2.784 states/eV/f.u.
- Raw total energy: -6.495 eV/atom
- Space group: P1 (1)

a b c (Å): 5.8433 5.8466 9.5442
angles (deg): 89.60 90.00 60.18
Last column: nearest neighbours and their distance in Å.
Atoms (fractional coordinates):
1 Li 0.0000 0.0000 0.0000  4 O 1.77-1.96
2 Li 0.0027 0.0077 0.5020  4 O 1.77-1.93
3 Li 0.3527 0.3323 0.0973  4 O 1.95-2.02
4 Li 0.6792 0.6598 0.5987  4 O 1.96-2.01
5 Mn 0.6662 0.1652 0.7814  6 O 1.91-2.01
6 Mn 0.8422 0.3394 0.2826  6 O 1.92-1.97
7 Mn 0.8430 0.8337 0.2841  6 O 1.93-1.97
8 Cr 0.1737 0.1624 0.7885  6 O 1.89-1.98
9 Cr 0.1764 0.6554 0.7817  6 O 1.97-2.05
10 Cr 0.3474 0.8334 0.2839  6 O 1.98-2.02
11 Cu 0.3320 0.3373 0.5080  6 O 2.04-2.13
12 Cu 0.6742 0.6753 0.0122  6 O 2.01-2.14
13 O 0.0016 0.0082 0.1856  1 Li 1.77, 2 Mn 1.92-1.93, 1 Cr 1.98
14 O 0.0465 0.4694 0.6629  1 Li 1.96, 2 Cr 1.96-1.97, 1 Cu 2.07
15 O 0.1590 0.6862 0.3967  1 Li 1.92, 1 Mn 1.93, 1 Cr 2.01, 1 Cu 2.06
16 O 0.1608 0.1689 0.3943  1 Li 1.91, 1 Mn 1.93, 1 Cr 2.01, 1 Cu 2.04
17 O 0.3306 0.8447 0.8937  2 Cr 1.89-2.05, 1 Li 1.96, 1 Cu 2.07
18 O 0.3507 0.3225 0.8915  1 Mn 1.92, 1 Li 1.97, 2 Cr 1.97-1.98
19 O 0.4843 0.0358 0.6639  1 Mn 1.94, 1 Cr 1.98, 1 Li 2.01, 1 Cu 2.13
20 O 0.4937 0.4721 0.6598  1 Mn 1.94, 1 Li 1.97, 1 Cr 2.00, 1 Cu 2.09
21 O 0.5373 0.5164 0.1588  1 Mn 1.95, 1 Li 1.96, 1 Cr 2.02, 1 Cu 2.05
22 O 0.5374 0.9657 0.1609  1 Mn 1.95, 1 Li 1.95, 1 Cr 2.01, 1 Cu 2.05
23 O 0.6862 0.1630 0.3897  1 Li 1.93, 2 Mn 1.96, 1 Cu 2.12
24 O 0.6873 0.6620 0.3886  2 Mn 1.93, 1 Cr 1.99, 1 Li 2.01
25 O 0.8395 0.8422 0.8954  1 Li 1.90, 1 Mn 1.96, 1 Cu 2.01, 1 Cr 2.03
26 O 0.8478 0.3242 0.8891  1 Cr 1.91, 1 Li 1.95, 1 Mn 2.01, 1 Cu 2.14
27 O 0.9748 0.5226 0.1623  2 Mn 1.97, 1 Li 2.02, 1 Cu 2.09
28 O 0.9972 0.0024 0.6869  1 Li 1.77, 1 Mn 1.91, 2 Cr 1.96-1.97

Look up the raw total energy of the first one. -6.234 eV/atom

Which value of magnetic moment does entry 1 give? 4.0 μB per formula unit

Please write out number 1 again, unchanged.
The following is a PBE with a Hubbard U calculation of crystalline Li4Mn3Cr2Cu3O16 at its relaxed geometry, from the Alexandria database.

Properties
- Magnetic moment: 4.0 μB per formula unit
- DOS(E_F): 6.479 states/eV/f.u.
- Raw total energy: -6.234 eV/atom
- Space group: Cm (8)

a b c (Å): 5.8499 5.8499 9.4496
angles (deg): 90.92 90.92 59.54
Last column: nearest neighbours and their distance in Å.
Atoms (fractional coordinates):
1 Li 0.0000 0.0000 0.0000  4 O 1.80-1.96
2 Li 0.0028 0.0028 0.5044  4 O 1.78-1.90
3 Li 0.3375 0.3375 0.3996  4 O 1.94-2.05
4 Li 0.6667 0.6667 0.9001  4 O 1.93-2.03
5 Mn 0.1745 0.1745 0.7210  6 O 1.92-1.97
6 Mn 0.3414 0.8348 0.2209  6 O 1.91-1.97
7 Mn 0.8348 0.3414 0.2209  6 O 1.91-1.97
8 Cr 0.3378 0.3378 0.9905  6 O 1.99-2.11
9 Cr 0.6720 0.6720 0.4968  6 O 1.95-2.08
10 Cu 0.1721 0.6649 0.7187  6 O 1.91-2.12
11 Cu 0.6649 0.1721 0.7187  6 O 1.91-2.12
12 Cu 0.8347 0.8347 0.2208  6 O 1.98-2.04
13 O 0.0049 0.0049 0.8095  1 Li 1.80, 2 Cu 1.91, 1 Mn 1.93
14 O 0.0093 0.0093 0.3168  1 Li 1.78, 2 Mn 1.91, 1 Cu 1.98
15 O 0.0355 0.4734 0.8481  1 Mn 1.92, 1 Li 1.93, 1 Cr 2.03, 1 Cu 2.09
16 O 0.1648 0.1648 0.1113  1 Li 1.96, 2 Mn 1.97, 1 Cr 2.11
17 O 0.1750 0.6804 0.1067  1 Li 1.91, 1 Mn 1.94, 1 Cu 2.04, 1 Cr 2.04
18 O 0.3343 0.8528 0.6010  1 Li 1.90, 1 Mn 1.97, 1 Cr 1.97, 1 Cu 2.12
19 O 0.3346 0.3346 0.6163  1 Mn 1.92, 2 Cu 1.92, 1 Li 2.05
20 O 0.4734 0.0355 0.8481  1 Mn 1.92, 1 Li 1.93, 1 Cr 2.03, 1 Cu 2.09
21 O 0.4820 0.4820 0.8501  1 Li 1.93, 1 Cr 1.99, 2 Cu 1.99
22 O 0.5156 0.9639 0.3469  1 Mn 1.93, 1 Li 1.94, 1 Cu 2.02, 1 Cr 2.05
23 O 0.5228 0.5228 0.3425  2 Mn 1.96, 1 Li 1.97, 1 Cr 2.08
24 O 0.6643 0.6643 0.1150  2 Mn 1.92, 1 Cu 1.98, 1 Li 2.03
25 O 0.6804 0.1750 0.1067  1 Li 1.91, 1 Mn 1.94, 1 Cu 2.04, 1 Cr 2.04
26 O 0.8417 0.8417 0.5972  1 Li 1.87, 1 Cr 1.95, 2 Cu 2.02
27 O 0.8528 0.3343 0.6010  1 Li 1.90, 1 Mn 1.97, 1 Cr 1.97, 1 Cu 2.12
28 O 0.9639 0.5156 0.3469  1 Mn 1.93, 1 Li 1.94, 1 Cu 2.02, 1 Cr 2.05

What is the DOS(E_F) in the second record? 2.784 states/eV/f.u.